No. 1
Here is a geometry-optimized TiAlIn2C structure from the Alexandria database. Energies are from PBE.

Lattice parameters (Å, degrees): 5.4388 3.5829 5.4388 90.00 90.00 90.00
Fractional coordinates of all 5 atoms:
Al 0.0000 0.0000 0.0000
Ti 0.5000 0.5000 0.5000
C 0.0000 0.5000 0.0000
In 0.0000 0.0000 0.5000
In 0.5000 0.0000 0.0000

Values from the calculation:
SG   No. 123

No. 2
Here is a geometry-optimized Al2TlInC structure from the Alexandria database. Energies are from PBE.

Lattice parameters (Å, degrees): 5.6802 4.1354 5.6802 90.00 90.00 90.00
Fractional coordinates of all 5 atoms:
Tl 0.0000 0.0000 0.0000
Al 0.5000 0.0000 0.0000
Al 0.0000 0.0000 0.5000
C 0.0000 0.5000 0.0000
In 0.5000 0.5000 0.5000

Values from the calculation:
SG   No. 123

No. 3
Here is a geometry-optimized Y2AlInC structure from the Alexandria database. Energies are from PBE.

Lattice parameters (Å, degrees): 5.0600 5.0600 4.0032 90.00 90.00 90.00
Fractional coordinates of all 5 atoms:
Y 0.0000 0.5000 0.0000
Y 0.5000 0.0000 0.0000
Al 0.0000 0.0000 0.5000
In 0.5000 0.5000 0.5000
C 0.0000 0.0000 0.0000

Values from the calculation:
SG   No. 123

Quick rundown of DFT formation energy, same order as above: 1.02, 1.61, -0.42 eV per atom
Quick rundown of D(E_F), same order as above: 0.96, 0.56, 0.14 states/eV/atom
Quick rundown of calculated volume, same order as above: 105.98, 133.43, 102.50 Å³/f.u.